{
  "formula": "Cu2GeH2",
  "functional": "GGA-PBE",
  "state": "relaxed",
  "cell": [[-1.725, 1.725, 4.191], [1.725, -1.725, 4.191], [1.725, 1.725, -4.191]],
  "species": ["Cu", "Cu", "Ge", "H", "H"],
  "frac_coords": [[0.162, 0.162, 0.000], [0.838, 0.838, 0.000], [0.500, 0.500, 0.000], [0.250, 0.750, 0.500], [0.750, 0.250, 0.500]],
  "energy_ev_per_atom": -3.55,
  "magmom_total_mub_per_fu": 0.000
}

{
  "formula": "Ac4DyCu3O12",
  "functional": "GGA-PBE",
  "state": "relaxed",
  "cell": [[-4.036, 4.036, 4.036], [4.036, -4.036, 4.036], [4.036, 4.036, -4.036]],
  "species": ["Ac", "Ac", "Ac", "Ac", "Dy", "Cu", "Cu", "Cu", "O", "O", "O", "O", "O", "O", "O", "O", "O", "O", "O", "O"],
  "frac_coords": [[0.000, 0.000, 0.500], [0.000, 0.500, 0.000], [0.500, 0.000, 0.000], [0.500, 0.500, 0.500], [0.000, 0.000, 0.000], [0.000, 0.500, 0.500], [0.500, 0.000, 0.500], [0.500, 0.500, 0.000], [0.000, 0.266, 0.266], [0.000, 0.734, 0.734], [0.250, 0.500, 0.750], [0.250, 0.750, 0.500], [0.266, 0.000, 0.266], [0.266, 0.266, 0.000], [0.500, 0.250, 0.750], [0.500, 0.750, 0.250], [0.734, 0.000, 0.734], [0.734, 0.734, 0.000], [0.750, 0.250, 0.500], [0.750, 0.500, 0.250]],
  "raw_formation_energy_mev_per_atom": -2266,
  "energy_ev_per_atom": -6.91,
  "magmom_total_mub_per_fu": 0.000
}

{
  "formula": "PmThGaAu",
  "functional": "GGA-PBE",
  "state": "relaxed",
  "cell": [[4.513, 0.000, 0.000], [0.000, 2.059, 5.621], [0.000, -2.059, 5.621]],
  "species": ["Pm", "Th", "Ga", "Au"],
  "frac_coords": [[0.000, 0.000, 0.000], [0.500, 0.283, 0.283], [0.000, 0.720, 0.720], [0.500, 0.563, 0.563]],
  "energy_ev_per_atom": -5.21,
  "magmom_total_mub_per_fu": 0.001,
  "formation_energy_kj_per_mol_atoms": -57.3
}

{
  "formula": "Ba2CdInAu",
  "functional": "GGA-PBE",
  "state": "relaxed",
  "cell": [[6.376, 0.000, 0.000], [0.000, 6.376, 0.000], [0.000, 0.000, 5.204]],
  "species": ["Ba", "Ba", "Cd", "In", "Au"],
  "frac_coords": [[0.000, 0.500, 0.000], [0.500, 0.000, 0.000], [0.000, 0.000, 0.500], [0.500, 0.500, 0.500], [0.500, 0.500, 0.000]],
  "energy_ev_per_atom": -2.46,
  "magmom_total_mub_per_fu": 0.000,
  "formation_energy_kj_per_mol_atoms": -29.9
}

{
  "formula": "CsRbGa2",
  "functional": "GGA-PBE",
  "state": "relaxed",
  "cell": [[-5.095, 5.095, 3.423], [5.095, -5.095, 3.423], [5.095, 5.095, -3.423]],
  "species": ["Cs", "Cs", "Rb", "Rb", "Ga", "Ga", "Ga", "Ga"],
  "frac_coords": [[0.000, 0.000, 0.000], [0.750, 0.250, 0.500], [0.250, 0.750, 0.500], [0.500, 0.500, 0.000], [0.131, 0.625, 0.006], [0.375, 0.381, 0.506], [0.619, 0.125, 0.994], [0.875, 0.869, 0.494]],
  "energy_ev_per_atom": -1.55,
  "magmom_total_mub_per_fu": 0.000,
  "formation_energy_kj_per_mol_atoms": 40.1
}

{
  "formula": "MgZrBeCo",
  "functional": "GGA-PBE",
  "state": "relaxed",
  "cell": [[0.000, 3.101, 3.101], [3.101, 0.000, 3.101], [3.101, 3.101, 0.000]],
  "species": ["Mg", "Zr", "Be", "Co"],
  "frac_coords": [[0.000, 0.000, 0.000], [0.500, 0.500, 0.500], [0.750, 0.750, 0.750], [0.250, 0.250, 0.250]],
  "energy_ev_per_atom": -5.29,
  "magmom_total_mub_per_fu": 0.515,
  "formation_energy_kj_per_mol_atoms": -4.5
}